VASP calculation (PBE+U) on an optimized crystal structure of KAlCr2H2O8.

Unit cell a=5.141 b=5.141 c=7.845 alpha=93.59 beta=93.59 gamma=64.88
Fractional coordinates of all 14 atoms:
K1 0.000 0.000 0.000
Al1 0.000 0.000 0.500
Cr1 0.387 0.387 0.714
Cr2 0.613 0.613 0.286
H1 0.274 0.274 0.432
H2 0.726 0.726 0.568
O1 0.223 0.223 0.540
O2 0.230 0.748 0.674
O3 0.252 0.770 0.326
O4 0.311 0.311 0.898
O5 0.689 0.689 0.102
O6 0.748 0.230 0.674
O7 0.770 0.252 0.326
O8 0.777 0.777 0.460

Values from the calculation:
Spin magnetization ... 2.00 μB/f.u.
Total DFT energy (no corrections) ... -6.293 eV per atom
Polymorph energy (0 for the lowest one) ... 0.00 eV/f.u.
SG ... C2/m (12)